Material: CsYFeO4
Method: DFT, GGA+U
State: relaxed

Lattice parameters (Å, degrees): 5.917 6.108 7.971 90.00 109.57 90.00
Space group P2_1/m (No. 11)
Inequivalent atoms, fractional coordinates:
Cs: 0.199 0.250 0.434
Y: 0.320 0.250 0.966
Fe: 0.236 0.750 0.152
O: 0.012 0.750 0.942
O: 0.034 0.750 0.277
O: 0.459 0.525 0.164

Computed properties:
D(E_F): 0.15 states/eV/f.u.
raw total energy: -6.697 eV per atom
magnetization: 4.0 μB per formula unit
volume: 271 Å³/cell
theoretical density: 4.18 g/cm3